## SmMgTl (PBE)

Data for a geometry-optimized SmMgTl structure.

## Properties
* total energy: -2.67 eV/atom
* space-group type: No. 216
* total moment: 0.00 μB/cell

Cell and atoms, written as POSCAR:
```
SmMgTl
1.0
0.0000 3.6233 3.6233
3.6233 0.0000 3.6233
3.6233 3.6233 0.0000
Sm Mg Tl
1 1 1
direct
0.0000 0.0000 0.0000 Sm
0.7500 0.7500 0.7500 Mg
0.2500 0.2500 0.2500 Tl
```